[1]
The following is a PBE calculation of a relaxed structure of CePu3Pb4, from Alexandria.

The structure in CIF format:
```
data_CePu3Pb4
_chemical_formula_sum 'Ce1 Pu3 Pb4'
_space_group_name_H-M_alt 'P m m m'
_space_group_IT_number 47
_cell_length_a 4.767
_cell_length_b 4.889
_cell_length_c 9.752
_cell_angle_alpha 90.00
_cell_angle_beta 90.00
_cell_angle_gamma 90.00
loop_
_space_group_symop_operation_xyz
'x,y,z'
'-x,-y,-z'
'-x,-y,z'
'x,y,-z'
'x,-y,-z'
'-x,y,z'
'-x,y,-z'
'x,-y,z'
loop_
_atom_site_label
_atom_site_fract_x
_atom_site_fract_y
_atom_site_fract_z
_atom_site_occupancy
Ce1 0.000 0.000 0.000 1
Pu1 0.000 0.000 0.500 1
Pu2 0.000 0.500 0.254 1
Pb1 0.500 0.000 0.252 1
Pb2 0.500 0.500 0.000 1
Pb3 0.500 0.500 0.500 1
```

Output
N(E_F)   26.1 states/eV per cell
Energy of formation from the pure elements   -238 meV per atom
Total energy   -8.21 eV per atom

[2]
The following is a PBE calculation of a relaxed structure of CePuPb2, from Alexandria.

The structure in CIF format:
```
data_CePuPb2
_chemical_formula_sum 'Ce2 Pu2 Pb4'
_space_group_name_H-M_alt 'C m m m'
_space_group_IT_number 65
_space_group_name_Hall '-C 2 2'
_cell_length_a 6.929
_cell_length_b 9.349
_cell_length_c 3.563
_cell_angle_alpha 90.00
_cell_angle_beta 90.00
_cell_angle_gamma 90.00
loop_
_atom_site_label
_atom_site_fract_x
_atom_site_fract_y
_atom_site_fract_z
_atom_site_occupancy
Ce1 0.000 0.000 0.000 1
Pu1 0.000 0.500 0.000 1
Pb1 0.250 0.250 0.500 1
```

Output
N(E_F)   27.8 states/eV per cell
Offset from the most stable computed form   0.03 eV/f.u.
Energy of formation from the pure elements   -287 meV per atom
Total energy   -7.21 eV per atom

[3]
The following is a PBE calculation of a relaxed structure of Ce4Pu2Pb3, from Alexandria.

The structure in CIF format:
```
data_Ce4Pu2Pb3
_chemical_formula_sum 'Ce8 Pu4 Pb6'
_space_group_name_H-M_alt 'P -1'
_space_group_IT_number 2
_cell_length_a 5.571
_cell_length_b 9.524
_cell_length_c 9.882
_cell_angle_alpha 73.04
_cell_angle_beta 81.84
_cell_angle_gamma 84.35
loop_
_space_group_symop_operation_xyz
'x,y,z'
'-x,-y,-z'
loop_
_atom_site_label
_atom_site_fract_x
_atom_site_fract_y
_atom_site_fract_z
_atom_site_occupancy
Ce1 0.014 0.430 0.184 1
Ce2 0.192 0.028 0.731 1
Ce3 0.276 0.753 0.505 1
Ce4 0.485 0.353 0.064 1
Pu1 0.094 0.318 0.605 1
Pu2 0.404 0.917 0.151 1
Pb1 0.039 0.209 0.971 1
Pb2 0.268 0.121 0.373 1
Pb3 0.458 0.547 0.298 1
```

Output
N(E_F)   37.6 states/eV per cell
Energy of formation from the pure elements   -258 meV per atom
Total energy   -7.32 eV per atom